A geometry-optimized HgAsW structure. Source: Alexandria via LeMat-Bulk, functional GGA-PBE.

Unit cell a=8.911 b=8.736 c=2.872 alpha=84.10 beta=77.20 gamma=18.70
Sites, in units of the cell vectors:
Hg1 0.000 0.000 0.000
As1 0.734 0.734 0.266
W1 0.349 0.349 0.651

## Properties
Space-group type: Fmm2, No. 42
Total energy, eV/cell: -16.402
ΔE_f, eV per atom: 0.501
Distance to the lowest polymorph of the same formula, eV/atom: 0.073
Magnetization, μB/f.u.: 0.000